1.
Computed, not measured: an optimized crystal structure of LiTbHfPt at the GGA-PBE level of DFT.

Lattice parameters (Å, degrees): 6.828 6.828 6.828 90.00 90.00 90.00
Space group F-43m (No. 216)
Unique sites:
Li (0.000, 0.000, 0.000) [4 per cell]
Tb (0.250, 0.250, 0.250) [4 per cell]
Hf (0.250, 0.250, 0.750) [4 per cell]
Pt (0.000, 0.000, 0.500) [4 per cell]


2.
Computed, not measured: an optimized crystal structure of CoP2Pt at the GGA-PBE level of DFT.

Lattice parameters (Å, degrees): 3.1089 3.1089 20.4965 90.00 90.00 120.00
Space group R3m (No. 160, hexagonal axes)
Unique sites:
Co (0.0000, 0.0000, 0.0000) [3 per cell]
P (0.0000, 0.0000, 0.4873) [3 per cell]
P (0.0000, 0.0000, 0.7252) [3 per cell]
Pt (0.0000, 0.0000, 0.2265) [3 per cell]

Computed properties:
- excess energy over the best structure of this formula in the dataset (meV/atom) = 280


The calculation returns the following uncorrected energy values, one per record and in order: -6.099 -6.110 eV/atom.